A geometry-optimized Sc2SbAu2 structure. Source: Alexandria, functional GGA-PBE.

Cell: 4.691 4.691 10.809 Å, 90.00 90.00 90.00°
Space group I4/mmm (No. 139)
Symmetry-distinct sites (fractional):
1 Sc 0.000 0.500 0.250 [4 per cell]
2 Sb 0.000 0.000 0.000 [2 per cell]
3 Au 0.000 0.000 0.377 [4 per cell]

Output
Energy above the lowest structure with this stoichiometry: 245.6 meV/atom
Theoretical density: 8.45 g cm⁻³
V: 238 Å³/cell
Crystal system: tetragonal
Formation energy (no corrections): -0.462 eV per atom

A geometry-optimized ScSb2Au structure. Source: Alexandria, functional GGA-PBE.

Cell: 7.191 7.191 7.191 Å, 90.00 90.00 90.00°
Space group Fm-3m (No. 225)
Symmetry-distinct sites (fractional):
1 Sc 0.000 0.000 0.000 [4 per cell]
2 Sb 0.250 0.250 0.250 [8 per cell]
3 Au 0.000 0.000 0.500 [4 per cell]

Output
Theoretical density: 8.67 g cm⁻³
V: 372 Å³/cell
Crystal system: cubic
Formation energy (no corrections): -0.148 eV per atom

A geometry-optimized ScSb2Au structure. Source: Alexandria, functional GGA-PBE.

Cell: 3.216 4.336 7.496 Å, 90.00 99.49 90.00°
Space group Pm (No. 6)
Symmetry-distinct sites (fractional):
1 Sc 0.000 0.000 0.000 [1 per cell]
2 Sb 0.426 0.500 0.793 [1 per cell]
3 Sb 0.641 0.000 0.401 [1 per cell]
4 Au 0.567 0.500 0.174 [1 per cell]

Output
Theoretical density: 7.82 g cm⁻³
V: 103 Å³/cell
Crystal system: monoclinic
Formation energy (no corrections): -0.427 eV per atom

A geometry-optimized ScSb2Au structure. Source: Alexandria, functional GGA-PBE.

Cell: 3.4310 3.4310 27.5826 Å, 90.00 90.00 120.00°
Space group R-3m (No. 166, hexagonal axes)
Symmetry-distinct sites (fractional):
1 Sc 0.0000 0.0000 0.0000 [3 per cell]
2 Sb 0.0000 0.0000 0.2472 [6 per cell]
3 Au 0.0000 0.0000 0.5000 [3 per cell]

Output
Theoretical density: 8.60 g cm⁻³
V: 281 Å³/cell
Crystal system: trigonal
Formation energy (no corrections): -0.161 eV per atom

A geometry-optimized ScSb2Au structure. Source: Alexandria, functional GGA-PBE.

Cell: 4.407 4.407 9.421 Å, 90.00 90.00 90.00°
Space group I4/mmm (No. 139)
Symmetry-distinct sites (fractional):
1 Sc 0.000 0.000 0.000 [2 per cell]
2 Sb 0.000 0.500 0.250 [4 per cell]
3 Au 0.000 0.000 0.500 [2 per cell]

Output
Theoretical density: 8.81 g cm⁻³
V: 183 Å³/cell
Crystal system: tetragonal
Formation energy (no corrections): -0.336 eV per atom

A geometry-optimized ScSb2Au structure. Source: Alexandria, functional GGA-PBE.

Cell: 4.180 4.180 10.401 Å, 90.00 90.00 90.00°
Space group I-4m2 (No. 119)
Symmetry-distinct sites (fractional):
1 Sc 0.000 0.000 0.000 [2 per cell]
2 Sb 0.000 0.000 0.500 [2 per cell]
3 Sb 0.000 0.500 0.250 [2 per cell]
4 Au 0.000 0.500 0.750 [2 per cell]

Output
Theoretical density: 8.87 g cm⁻³
V: 182 Å³/cell
Crystal system: tetragonal
Formation energy (no corrections): -0.393 eV per atom

A geometry-optimized ScSb2Au structure. Source: Alexandria, functional GGA-PBE.

Cell: 3.7417 3.7417 24.4022 Å, 90.00 90.00 120.00°
Space group R3m (No. 160, hexagonal axes)
Symmetry-distinct sites (fractional):
1 Sc 0.0000 0.0000 0.0000 [3 per cell]
2 Sb 0.0000 0.0000 0.5140 [3 per cell]
3 Sb 0.0000 0.0000 0.7546 [3 per cell]
4 Au 0.0000 0.0000 0.2606 [3 per cell]

Output
Theoretical density: 8.17 g cm⁻³
V: 296 Å³/cell
Crystal system: trigonal
Formation energy (no corrections): -0.250 eV per atom

A geometry-optimized ScSb2Au structure. Source: Alexandria, functional GGA-PBE.

Cell: 4.737 4.737 3.989 Å, 90.00 90.00 90.00°
Space group P4/mmm (No. 123)
Symmetry-distinct sites (fractional):
1 Sc 0.000 0.000 0.000 [1 per cell]
2 Sb 0.000 0.500 0.500 [2 per cell]
3 Au 0.500 0.500 0.000 [1 per cell]

Output
Theoretical density: 9.00 g cm⁻³
V: 90 Å³/cell
Crystal system: tetragonal
Formation energy (no corrections): -0.418 eV per atom

A geometry-optimized Sc2Sb2Au structure. Source: Alexandria, functional GGA-PBE.

Cell: 7.585 7.585 4.083 Å, 90.00 90.00 90.00°
Space group P4/mbm (No. 127)
Symmetry-distinct sites (fractional):
1 Sc 0.151 0.349 0.000 [4 per cell]
2 Sb 0.157 0.657 0.500 [4 per cell]
3 Au 0.000 0.000 0.000 [2 per cell]

Output
Energy above the lowest structure with this stoichiometry: 0.0 meV/atom
Theoretical density: 7.50 g cm⁻³
V: 235 Å³/cell
Crystal system: tetragonal
Formation energy (no corrections): -0.583 eV per atom

A geometry-optimized ScSb2Au structure. Source: Alexandria, functional GGA-PBE.

Cell: 7.854 7.854 6.343 Å, 90.00 90.00 90.00°
Space group I-42d (No. 122)
Symmetry-distinct sites (fractional):
1 Sc 0.000 0.000 0.000 [4 per cell]
2 Sb 0.224 0.250 0.625 [8 per cell]
3 Au 0.000 0.000 0.500 [4 per cell]

Output
Theoretical density: 8.24 g cm⁻³
V: 391 Å³/cell
Crystal system: tetragonal
Formation energy (no corrections): -0.294 eV per atom

A geometry-optimized ScSb2Au structure. Source: Alexandria, functional GGA-PBE.

Cell: 7.215 7.215 7.215 Å, 90.00 90.00 90.00°
Space group F-43m (No. 216)
Symmetry-distinct sites (fractional):
1 Sc 0.000 0.000 0.000 [4 per cell]
2 Sb 0.000 0.000 0.500 [4 per cell]
3 Sb 0.250 0.250 0.250 [4 per cell]
4 Au 0.250 0.250 0.750 [4 per cell]

Output
Theoretical density: 8.59 g cm⁻³
V: 376 Å³/cell
Crystal system: cubic
Formation energy (no corrections): -0.190 eV per atom

A geometry-optimized ScSbAu3 structure. Source: Alexandria, functional GGA-PBE.

Cell: 5.141 5.141 5.141 Å, 90.00 90.00 90.00°
Space group Pm-3m (No. 221)
Symmetry-distinct sites (fractional):
1 Sc 0.000 0.000 0.000 [1 per cell]
2 Sb 0.500 0.500 0.500 [1 per cell]
3 Au 0.000 0.500 0.500 [3 per cell]

Output
Energy above the lowest structure with this stoichiometry: 0.0 meV/atom
Theoretical density: 9.26 g cm⁻³
V: 136 Å³/cell
Crystal system: cubic
Formation energy (no corrections): 0.354 eV per atom

A geometry-optimized Sc2SbAu2 structure. Source: Alexandria, functional GGA-PBE.

Cell: 7.493 7.493 3.776 Å, 90.00 90.00 90.00°
Space group P4/mbm (No. 127)
Symmetry-distinct sites (fractional):
1 Sc 0.166 0.334 0.000 [4 per cell]
2 Sb 0.000 0.000 0.500 [2 per cell]
3 Au 0.130 0.630 0.500 [4 per cell]

Output
Energy above the lowest structure with this stoichiometry: 0.0 meV/atom
Theoretical density: 9.49 g cm⁻³
V: 212 Å³/cell
Crystal system: tetragonal
Formation energy (no corrections): -0.708 eV per atom

A geometry-optimized ScSb2Au structure. Source: Alexandria, functional GGA-PBE.

Cell: 3.221 3.221 9.770 Å, 90.00 90.00 90.00°
Space group P4mm (No. 99)
Symmetry-distinct sites (fractional):
1 Sc 0.000 0.000 0.000 [1 per cell]
2 Sb 0.000 0.000 0.395 [1 per cell]
3 Sb 0.500 0.500 0.772 [1 per cell]
4 Au 0.500 0.500 0.177 [1 per cell]

Output
Theoretical density: 7.95 g cm⁻³
V: 101 Å³/cell
Crystal system: tetragonal
Formation energy (no corrections): -0.354 eV per atom

A geometry-optimized Sc2SbAu2 structure. Source: Alexandria, functional GGA-PBE.

Cell: 7.862 7.862 3.539 Å, 90.00 90.00 90.00°
Space group P4/mbm (No. 127)
Symmetry-distinct sites (fractional):
1 Sc 0.161 0.339 0.000 [4 per cell]
2 Sb 0.000 0.000 0.000 [2 per cell]
3 Au 0.131 0.631 0.500 [4 per cell]

Output
Energy above the lowest structure with this stoichiometry: 106.1 meV/atom
Theoretical density: 9.19 g cm⁻³
V: 219 Å³/cell
Crystal system: tetragonal
Formation energy (no corrections): -0.602 eV per atom

A geometry-optimized ScSbAu3 structure. Source: Alexandria, functional GGA-PBE.

Cell: 5.103 5.103 5.103 Å, 90.00 90.00 90.00°
Space group Pm-3m (No. 221)
Symmetry-distinct sites (fractional):
1 Sc 0.000 0.000 0.000 [1 per cell]
2 Sb 0.500 0.500 0.500 [1 per cell]
3 Au 0.000 0.000 0.500 [3 per cell]

Output
Energy above the lowest structure with this stoichiometry: 108.2 meV/atom
Theoretical density: 9.46 g cm⁻³
V: 133 Å³/cell
Crystal system: cubic
Formation energy (no corrections): 0.462 eV per atom

A geometry-optimized ScSb2TeAu structure. Source: Alexandria, functional GGA-PBE.

Cell: 5.325 5.325 5.483 Å, 90.00 90.00 90.00°
Space group P4/mmm (No. 123)
Symmetry-distinct sites (fractional):
1 Sc 0.000 0.000 0.000 [1 per cell]
2 Sb 0.000 0.500 0.500 [2 per cell]
3 Te 0.500 0.500 0.000 [1 per cell]
4 Au 0.500 0.500 0.500 [1 per cell]

Output
Energy above the lowest structure with this stoichiometry: 56.2 meV/atom
Theoretical density: 6.55 g cm⁻³
V: 155 Å³/cell
Crystal system: tetragonal
Formation energy (no corrections): 0.373 eV per atom

A geometry-optimized ScSb2TeAu structure. Source: Alexandria, functional GGA-PBE.

Cell: 5.472 5.472 5.369 Å, 90.00 90.00 90.00°
Space group P4/mmm (No. 123)
Symmetry-distinct sites (fractional):
1 Sc 0.000 0.000 0.000 [1 per cell]
2 Sb 0.000 0.500 0.000 [2 per cell]
3 Te 0.000 0.000 0.500 [1 per cell]
4 Au 0.500 0.500 0.500 [1 per cell]

Output
Energy above the lowest structure with this stoichiometry: 0.0 meV/atom
Theoretical density: 6.33 g cm⁻³
V: 161 Å³/cell
Crystal system: tetragonal
Formation energy (no corrections): 0.316 eV per atom

A geometry-optimized ScSbTe2Au structure. Source: Alexandria, functional GGA-PBE.

Cell: 5.431 5.431 5.551 Å, 90.00 90.00 90.00°
Space group P4/mmm (No. 123)
Symmetry-distinct sites (fractional):
1 Sc 0.000 0.000 0.000 [1 per cell]
2 Sb 0.000 0.000 0.500 [1 per cell]
3 Te 0.000 0.500 0.000 [2 per cell]
4 Au 0.500 0.500 0.500 [1 per cell]

Output
Energy above the lowest structure with this stoichiometry: 0.0 meV/atom
Theoretical density: 6.28 g cm⁻³
V: 164 Å³/cell
Crystal system: tetragonal
Formation energy (no corrections): 0.231 eV per atom

A geometry-optimized ScSbTe2Au structure. Source: Alexandria, functional GGA-PBE.

Cell: 5.471 5.471 5.245 Å, 90.00 90.00 90.00°
Space group P4/mmm (No. 123)
Symmetry-distinct sites (fractional):
1 Sc 0.000 0.000 0.000 [1 per cell]
2 Sb 0.500 0.500 0.000 [1 per cell]
3 Te 0.000 0.500 0.500 [2 per cell]
4 Au 0.500 0.500 0.500 [1 per cell]

Output
Energy above the lowest structure with this stoichiometry: 64.3 meV/atom
Theoretical density: 6.55 g cm⁻³
V: 157 Å³/cell
Crystal system: tetragonal
Formation energy (no corrections): 0.295 eV per atom